The following is a PBE calculation of a geometry-optimized Y7Tm12In structure, from Alexandria.

a b c (Å): 12.0178 12.0178 15.1032
angles (deg): 90.00 90.00 120.00
Space group R-3 (No. 148, hexagonal axes)
Unique sites:
Y1 0.0000 0.0000 0.0000 (multiplicity 3)
Y2 0.0503 0.8623 0.3027 (multiplicity 18)
Tm1 0.0320 0.5782 0.2077 (multiplicity 18)
Tm2 0.0582 0.4715 0.5872 (multiplicity 18)
In1 0.0000 0.0000 0.5000 (multiplicity 3)

Properties
As for the formation energy: 0.167 eV per atom. For the density of states at the Fermi level, the calculation gives 2.007 states/eV per atom. The value obtained for the calculated total energy is -294.9 eV/cell.